Material: BaLiBe2
Method: DFT, PBE
State: relaxed

a b c (Å): 6.944 6.944 6.944
angles (deg): 90.00 90.00 90.00
Space group F-43m (No. 216)
Unique sites:
Ba: 0.000 0.000 0.000 [4 per cell]
Li: 0.250 0.250 0.250 [4 per cell]
Be: 0.000 0.000 0.500 [4 per cell]
Be: 0.250 0.250 0.750 [4 per cell]

Magnetization = 0.000 μB per atom

---

Material: BaLiBe2
Method: DFT, PBE
State: relaxed

a b c (Å): 3.405 3.405 7.152
angles (deg): 90.00 90.00 90.00
Space group P4/mmm (No. 123)
Unique sites:
Ba: 0.000 0.000 0.000 [1 per cell]
Li: 0.000 0.000 0.500 [1 per cell]
Be: 0.500 0.500 0.347 [2 per cell]

Magnetization = 0.000 μB per atom

---

Going through the records in order, we get DOS(E_F) values of 19.85 2.08 states/eV per cell.
Going through the records in order, we get polymorph energy (0 for the lowest one) values of 0.3614 0.2322 eV/atom.
Going through the records in order, we get energy of formation values of 708 579 meV/atom.